No. 1
DFT (PBE) results for an optimized crystal structure of MnPHCS.

Cell and atoms, written as CIF:
```
data_MnPHCS
_space_group_name_H-M_alt 'P 1'
_space_group_IT_number 1
_cell_length_a 3.217
_cell_length_b 3.856
_cell_length_c 5.864
_cell_angle_alpha 78.66
_cell_angle_beta 74.27
_cell_angle_gamma 89.14
loop_
_space_group_symop_operation_xyz
'x,y,z'
loop_
_atom_site_label
_atom_site_type_symbol
_atom_site_fract_x
_atom_site_fract_y
_atom_site_fract_z
Mn1 Mn 0.000 0.000 0.000
P1 P 0.491 0.500 0.023
H1 H 0.945 0.324 0.460
C1 C 0.608 0.888 0.800
S1 S 0.683 0.038 0.488
```

Output
size of the total moment: 2.99 Bohr magnetons per cell
polymorph energy (0 for the lowest one): 40.8 kJ/mol of atoms

No. 2
DFT (PBE) results for an optimized crystal structure of AcNdSiI.

Cell and atoms, written as CIF:
```
data_AcNdSiI
_space_group_name_H-M_alt 'R 3 m'
_space_group_IT_number 160
_space_group_name_Hall 'R 3 -2"'
_cell_length_a 4.4042
_cell_length_b 4.4042
_cell_length_c 24.4330
_cell_angle_alpha 90.00
_cell_angle_beta 90.00
_cell_angle_gamma 120.00
loop_
_atom_site_label
_atom_site_type_symbol
_atom_site_fract_x
_atom_site_fract_y
_atom_site_fract_z
Ac1 Ac 0.0000 0.0000 0.0000
Nd1 Nd 0.0000 0.0000 0.7985
Si1 Si 0.0000 0.0000 0.4049
I1 I 0.0000 0.0000 0.2264
```

Output
size of the total moment: 0.00 Bohr magnetons per cell
ΔE_f (raw): -0.917 eV per atom

No. 3
DFT (PBE) results for an optimized crystal structure of Ce3Nb2N7.

Cell and atoms, written as CIF:
```
data_Ce3Nb2N7
_space_group_name_H-M_alt 'C m m m'
_space_group_IT_number 65
_space_group_name_Hall '-C 2 2'
_cell_length_a 4.214
_cell_length_b 22.252
_cell_length_c 3.529
_cell_angle_alpha 90.00
_cell_angle_beta 90.00
_cell_angle_gamma 90.00
loop_
_atom_site_label
_atom_site_type_symbol
_atom_site_fract_x
_atom_site_fract_y
_atom_site_fract_z
Ce1 Ce 0.000 0.000 0.000
Ce2 Ce 0.000 0.185 0.000
Nb1 Nb 0.000 0.409 0.500
N1 N 0.000 0.094 0.500
N2 N 0.000 0.253 0.500
N3 N 0.000 0.365 0.000
N4 N 0.000 0.500 0.500
```

Output
size of the total moment: 1.86 Bohr magnetons per cell
ΔE_f (raw): -0.982 eV per atom

Please write out number 1 again, unchanged.
DFT (PBE) results for an optimized crystal structure of MnPHCS.

Cell and atoms, written as CIF:
```
data_MnPHCS
_space_group_name_H-M_alt 'P 1'
_space_group_IT_number 1
_cell_length_a 3.217
_cell_length_b 3.856
_cell_length_c 5.864
_cell_angle_alpha 78.66
_cell_angle_beta 74.27
_cell_angle_gamma 89.14
loop_
_space_group_symop_operation_xyz
'x,y,z'
loop_
_atom_site_label
_atom_site_type_symbol
_atom_site_fract_x
_atom_site_fract_y
_atom_site_fract_z
Mn1 Mn 0.000 0.000 0.000
P1 P 0.491 0.500 0.023
H1 H 0.945 0.324 0.460
C1 C 0.608 0.888 0.800
S1 S 0.683 0.038 0.488
```

Output
size of the total moment: 2.99 Bohr magnetons per cell
polymorph energy (0 for the lowest one): 40.8 kJ/mol of atoms